First-principles (PBE-GGA) data for a geometry-optimized Fe3Ag structure, as listed in Alexandria via LeMat-Bulk.

E_form = 349 meV per atom
Crystal system = tetragonal
E_tot = -26.8 eV per cell

a b c (Å): 4.623 4.623 4.623
angles (deg): 131.89 131.89 70.40
Each line ends with the local moment (μB).
Sites, in units of the cell vectors:
1 Ag 0.000 0.000 0.000  0.03
2 Fe 0.250 0.750 0.500  2.71
3 Fe 0.500 0.500 0.000  2.64
4 Fe 0.750 0.250 0.500  2.71